(1)
# PBE LaHf2Cd2, relaxed
# DOS at the Fermi energy (states/eV/f.u.): 3.9
# Total moment (μB per atom): 0.00
# Energy relative to the elements (eV per atom): 0.081
data_LaHf2Cd2
_space_group_name_H-M_alt 'P 4/m b m'
_space_group_IT_number 127
_space_group_name_Hall '-P 4 2ab'
_cell_length_a 8.8753
_cell_length_b 8.8753
_cell_length_c 3.0825
_cell_angle_alpha 90.00
_cell_angle_beta 90.00
_cell_angle_gamma 90.00
loop_
_atom_site_label
_atom_site_fract_x
_atom_site_fract_y
_atom_site_fract_z
La1 0.0000 0.0000 0.0000
Hf1 0.1210 0.3790 0.0000
Cd1 0.1741 0.6741 0.5000


(2)
# PBE La3HfCd, relaxed
# DOS at the Fermi energy (states/eV/f.u.): 9.1
# Total moment (μB per atom): 0.00
# Energy relative to the elements (eV per atom): 0.856
data_La3HfCd
_space_group_name_H-M_alt 'P m -3 m'
_space_group_IT_number 221
_space_group_name_Hall '-P 4 2 3'
_cell_length_a 5.8462
_cell_length_b 5.8462
_cell_length_c 5.8462
_cell_angle_alpha 90.00
_cell_angle_beta 90.00
_cell_angle_gamma 90.00
loop_
_atom_site_label
_atom_site_fract_x
_atom_site_fract_y
_atom_site_fract_z
La1 0.0000 0.0000 0.5000
Hf1 0.5000 0.5000 0.5000
Cd1 0.0000 0.0000 0.0000


(3)
# PBE LaHf2Cd, relaxed
# DOS at the Fermi energy (states/eV/f.u.): 5.8
# Total moment (μB per atom): 0.00
# Energy relative to the elements (eV per atom): 0.427
data_LaHf2Cd
_space_group_name_H-M_alt 'I -4 2 d'
_space_group_IT_number 122
_space_group_name_Hall 'I -4 2bw'
_cell_length_a 4.4294
_cell_length_b 4.4294
_cell_length_c 21.6168
_cell_angle_alpha 90.00
_cell_angle_beta 90.00
_cell_angle_gamma 90.00
loop_
_atom_site_label
_atom_site_fract_x
_atom_site_fract_y
_atom_site_fract_z
La1 0.0000 0.0000 0.0000
Hf1 0.2427 0.2500 0.6250
Cd1 0.0000 0.0000 0.5000